! ZnCd2Ag, PBEsol geometry, DFT meta-GGA SCAN; values from VASP
! total magnetization = 0.00 μB/f.u.
! SG = C2/m, No. 12
! crystal system = monoclinic
! ΔE_f = 0.0558 eV per atom
! energy = -105.488 eV per cell
&SYSTEM
  ibrav = 0, nat = 4, ntyp = 3
/
ATOMIC_SPECIES
Zn 65.41 Zn.upf
Cd 112.41 Cd.upf
Ag 107.87 Ag.upf
CELL_PARAMETERS angstrom
4.7999 -1.5023 0.0000
4.7999 1.5023 0.0000
-0.8577 0.0000 4.9216
ATOMIC_POSITIONS angstrom
Zn 0.0000 0.0000 0.0000
Cd 1.7655 0.0000 3.7001
Cd 6.9766 0.0000 1.2215
Ag 4.3711 0.0000 2.4608



! Tm3FeSi3, PBEsol geometry, DFT meta-GGA SCAN; values from VASP
! total magnetization = 0.00 μB/f.u.
! SG = C2/m, No. 12
! formation energy without anion corrections = -0.733 eV per atom
! crystal system = monoclinic
! energy = -417.601 eV per cell
&SYSTEM
  ibrav = 0, nat = 14, ntyp = 3
/
ATOMIC_SPECIES
Tm 168.93 Tm.upf
Fe 55.84 Fe.upf
Si 28.09 Si.upf
CELL_PARAMETERS angstrom
5.1117 -2.0351 0.0000
5.1117 2.0351 0.0000
-4.7518 0.0000 12.2979
ATOMIC_POSITIONS angstrom
Tm -1.5618 0.0000 4.6660
Tm -3.3385 0.0000 11.2993
Tm 1.4603 0.0000 2.8269
Tm 4.0113 0.0000 9.4711
Tm 8.8102 0.0000 0.9986
Tm 7.0334 0.0000 7.6319
Fe -0.1944 0.0000 7.1861
Fe 5.6661 0.0000 5.1118
Si 1.4809 0.0000 5.6173
Si -0.4570 0.0000 11.3719
Si 0.9449 0.0000 9.3138
Si 4.5267 0.0000 2.9841
Si 5.9286 0.0000 0.9260
Si 3.9907 0.0000 6.6806



! Li4Mn3O7, PBEsol geometry, DFT meta-GGA SCAN; values from VASP
! total magnetization = 7.00 μB/f.u.
! SG = C2/m, No. 12
! formation energy without anion corrections = -2.246 eV per atom
! crystal system = monoclinic
! energy = -278.779 eV per cell
&SYSTEM
  ibrav = 0, nat = 28, ntyp = 3
/
ATOMIC_SPECIES
Li 6.94 Li.upf
Mn 54.94 Mn.upf
O 16.00 O.upf
CELL_PARAMETERS angstrom
2.4284 -9.8356 0.0000
2.4284 9.8356 0.0000
-1.6164 0.0000 4.7385
ATOMIC_POSITIONS angstrom
Li 0.0000 0.0000 0.0000
Li 1.6202 8.5106 2.3693
Li 1.6202 5.6281 2.3693
Li 1.6202 2.7746 2.3693
Li 1.6202 0.0000 2.3693
Li 1.6202 -2.7746 2.3693
Li 1.6202 -5.6281 2.3693
Li 1.6202 -8.5106 2.3693
Mn 2.4284 7.0463 0.0000
Mn 2.4284 4.1940 0.0000
Mn 2.4284 1.3702 0.0000
Mn 2.4284 -1.3702 0.0000
Mn 2.4284 -4.1940 0.0000
Mn 2.4284 -7.0463 0.0000
O 0.8014 4.2251 1.0721
O -0.0077 2.8056 3.6655
O 0.8515 1.4954 1.0717
O 0.0935 0.0000 3.6411
O 0.8515 -1.4954 1.0717
O -0.0077 -2.8056 3.6655
O 0.8014 -4.2251 1.0721
O 2.4390 4.2251 3.6665
O 3.2481 2.8056 1.0731
O 2.3889 1.4954 3.6669
O 3.1469 0.0000 1.0975
O 2.3889 -1.4954 3.6669
O 3.2481 -2.8056 1.0731
O 2.4390 -4.2251 3.6665



! InSi3N, PBEsol geometry, DFT meta-GGA SCAN; values from VASP
! total magnetization = 0.00 μB/f.u.
! SG = Pm-3m, No. 221
! formation energy without anion corrections = 0.777 eV per atom
! crystal system = cubic
! energy = -68.842 eV per cell
&SYSTEM
  ibrav = 0, nat = 5, ntyp = 3
/
ATOMIC_SPECIES
In 114.82 In.upf
Si 28.09 Si.upf
N 14.01 N.upf
CELL_PARAMETERS angstrom
4.1825 0.0000 0.0000
0.0000 4.1825 0.0000
0.0000 0.0000 4.1825
ATOMIC_POSITIONS angstrom
In 0.0000 0.0000 0.0000
Si 0.0000 2.0912 2.0912
Si 2.0912 0.0000 2.0912
Si 2.0912 2.0912 0.0000
N 2.0912 2.0912 2.0912



! TiHgN2, PBEsol geometry, DFT meta-GGA SCAN; values from VASP
! total magnetization = 0.00 μB/f.u.
! SG = R-3m, No. 166
! formation energy without anion corrections = 1.025 eV per atom
! crystal system = trigonal
! energy = -98.680 eV per cell
&SYSTEM
  ibrav = 0, nat = 4, ntyp = 3
/
ATOMIC_SPECIES
Ti 47.87 Ti.upf
Hg 200.59 Hg.upf
N 14.01 N.upf
CELL_PARAMETERS angstrom
1.6850 0.9728 6.1335
-1.6850 0.9728 6.1335
0.0000 -1.9457 6.1335
ATOMIC_POSITIONS angstrom
Ti 0.0000 0.0000 0.0000
Hg 0.0000 0.0000 9.2003
N 0.0000 0.0000 1.8697
N 0.0000 0.0000 16.5308



! KIn2Pt, PBEsol geometry, DFT meta-GGA SCAN; values from VASP
! total magnetization = 0.00 μB/f.u.
! SG = F-43m, No. 216
! crystal system = cubic
! ΔE_f = 0.0708 eV per atom
! energy = -145.011 eV per cell
&SYSTEM
  ibrav = 0, nat = 4, ntyp = 3
/
ATOMIC_SPECIES
K 39.10 K.upf
In 114.82 In.upf
Pt 195.08 Pt.upf
CELL_PARAMETERS angstrom
0.0000 3.5568 3.5568
3.5568 0.0000 3.5568
3.5568 3.5568 0.0000
ATOMIC_POSITIONS angstrom
K 0.0000 0.0000 0.0000
In 3.5568 3.5568 3.5568
In 5.3351 5.3351 5.3351
Pt 1.7784 1.7784 1.7784



! Ba2LaBr, PBEsol geometry, DFT meta-GGA SCAN; values from VASP
! total magnetization = 5.81 μB/f.u.
! SG = Fm-3m, No. 225
! formation energy without anion corrections = -0.273 eV per atom
! crystal system = cubic
! energy = -142.756 eV per cell
&SYSTEM
  ibrav = 0, nat = 4, ntyp = 3
/
ATOMIC_SPECIES
Ba 137.33 Ba.upf
La 138.91 La.upf
Br 79.90 Br.upf
CELL_PARAMETERS angstrom
0.0000 4.3482 4.3482
4.3482 0.0000 4.3482
4.3482 4.3482 0.0000
ATOMIC_POSITIONS angstrom
Ba 2.1741 2.1741 2.1741
Ba 6.5224 6.5224 6.5224
La 0.0000 0.0000 0.0000
Br 4.3482 4.3482 4.3482



! Ba2Er2Zn8O13, PBEsol geometry, DFT meta-GGA SCAN; values from VASP
! total magnetization = 0.00 μB/f.u.
! SG = Cm, No. 8
! formation energy without anion corrections = -2.233 eV per atom
! crystal system = monoclinic
! energy = -424.746 eV per cell
&SYSTEM
  ibrav = 0, nat = 25, ntyp = 4
/
ATOMIC_SPECIES
Ba 137.33 Ba.upf
Er 167.26 Er.upf
Zn 65.41 Zn.upf
O 16.00 O.upf
CELL_PARAMETERS angstrom
5.5117 -3.1440 0.0000
5.5117 3.1440 0.0000
-0.0690 0.0000 10.3985
ATOMIC_POSITIONS angstrom
Ba 0.0000 0.0000 0.0000
Ba 7.7127 0.0000 5.9096
Er 0.1658 0.0000 6.7509
Er 7.3222 0.0000 1.3543
Zn 2.8602 1.5975 8.7943
Zn 2.0245 0.0000 3.4606
Zn 5.0646 1.3814 3.7131
Zn 3.6717 0.0000 6.1096
Zn 3.8580 0.0000 0.9164
Zn 5.6175 0.0000 8.5971
Zn 2.8602 -1.5975 8.7943
Zn 5.0646 -1.3814 3.7131
O 3.1094 1.6905 0.3421
O 4.5193 1.6679 5.4605
O 1.8645 0.0000 5.3888
O 6.5776 1.6158 2.6750
O 3.7468 0.0000 8.0593
O 6.5874 1.5787 8.0014
O 3.9155 0.0000 2.8982
O 5.6692 0.0000 0.1400
O 3.1094 -1.6905 0.3421
O 4.5193 -1.6679 5.4605
O 6.5874 -1.5787 8.0014
O 9.3576 0.0000 8.0595
O 6.5776 -1.6158 2.6750



! CaScSnC2, PBEsol geometry, DFT meta-GGA SCAN; values from VASP
! total magnetization = 0.00 μB/f.u.
! SG = P4/mmm, No. 123
! crystal system = tetragonal
! ΔE_f = 2.0351 eV per atom
! energy = -69.846 eV per cell
&SYSTEM
  ibrav = 0, nat = 5, ntyp = 4
/
ATOMIC_SPECIES
Ca 40.08 Ca.upf
Sc 44.96 Sc.upf
Sn 118.71 Sn.upf
C 12.01 C.upf
CELL_PARAMETERS angstrom
4.3764 0.0000 0.0000
0.0000 4.3764 0.0000
0.0000 0.0000 5.3328
ATOMIC_POSITIONS angstrom
Ca 0.0000 0.0000 0.0000
Sc 2.1882 2.1882 2.6664
Sn 0.0000 0.0000 2.6664
C 0.0000 2.1882 0.0000
C 2.1882 0.0000 0.0000



! Tl4CrI6, PBEsol geometry, DFT meta-GGA SCAN; values from VASP
! total magnetization = 4.00 μB/f.u.
! SG = P4/mnc, No. 128
! formation energy without anion corrections = -0.628 eV per atom
! crystal system = tetragonal
! energy = -1070.355 eV per cell
&SYSTEM
  ibrav = 0, nat = 22, ntyp = 3
/
ATOMIC_SPECIES
Tl 204.38 Tl.upf
Cr 52.00 Cr.upf
I 126.90 I.upf
CELL_PARAMETERS angstrom
8.8711 0.0000 0.0000
0.0000 8.8711 0.0000
0.0000 0.0000 9.5494
ATOMIC_POSITIONS angstrom
Tl 1.2569 3.1786 2.3873
Tl 1.2569 3.1786 7.1620
Tl 3.1786 7.6142 2.3873
Tl 3.1786 7.6142 7.1620
Tl 5.6925 1.2569 2.3873
Tl 5.6925 1.2569 7.1620
Tl 7.6142 5.6925 2.3873
Tl 7.6142 5.6925 7.1620
Cr 0.0000 0.0000 0.0000
Cr 4.4356 4.4356 4.7747
I 0.0000 0.0000 2.7168
I 0.0000 0.0000 6.8326
I 1.2535 6.2220 0.0000
I 1.7865 5.6890 4.7747
I 2.6491 1.2535 0.0000
I 3.1821 1.7865 4.7747
I 4.4356 4.4356 2.0579
I 4.4356 4.4356 7.4915
I 5.6890 7.0847 4.7747
I 6.2220 7.6176 0.0000
I 7.0847 3.1821 4.7747
I 7.6176 2.6491 0.0000



! KOsBr2, PBEsol geometry, DFT meta-GGA SCAN; values from VASP
! total magnetization = 3.00 μB/f.u.
! SG = I-4m2, No. 119
! formation energy without anion corrections = 0.605 eV per atom
! crystal system = tetragonal
! energy = -116.709 eV per cell
&SYSTEM
  ibrav = 0, nat = 4, ntyp = 3
/
ATOMIC_SPECIES
K 39.10 K.upf
Os 190.23 Os.upf
Br 79.90 Br.upf
CELL_PARAMETERS angstrom
-2.0022 2.0022 6.3664
2.0022 -2.0022 6.3664
2.0022 2.0022 -6.3664
ATOMIC_POSITIONS angstrom
K 0.0000 0.0000 0.0000
Os 0.0000 2.0022 3.1832
Br 2.0022 0.0000 3.1832
Br 0.0000 0.0000 6.3664



! RbSbPdPt2, PBEsol geometry, DFT meta-GGA SCAN; values from VASP
! total magnetization = 0.00 μB/f.u.
! SG = P4/mmm, No. 123
! formation energy without anion corrections = 0.201 eV per atom
! crystal system = tetragonal
! energy = -230.155 eV per cell
&SYSTEM
  ibrav = 0, nat = 5, ntyp = 4
/
ATOMIC_SPECIES
Rb 85.47 Rb.upf
Sb 121.76 Sb.upf
Pd 106.42 Pd.upf
Pt 195.08 Pt.upf
CELL_PARAMETERS angstrom
5.0152 0.0000 0.0000
0.0000 5.0152 0.0000
0.0000 0.0000 5.0287
ATOMIC_POSITIONS angstrom
Rb 0.0000 0.0000 0.0000
Sb 2.5076 2.5076 2.5143
Pd 2.5076 2.5076 0.0000
Pt 0.0000 2.5076 2.5143
Pt 2.5076 0.0000 2.5143



Which value of total magnetization does entry 8 give?
0.00 μB/f.u.



Which value of energy does entry 2 give?
-417.601 eV per cell